No. 1
Here is a relaxed SrZnSi2 crystal from Alexandria. Energies are from GGA-PBE. Values from VASP.

Geometry as Quantum ESPRESSO input:
```
&SYSTEM
  ibrav = 0, nat = 8, ntyp = 3
/
ATOMIC_SPECIES
Sr 87.62 Sr.upf
Zn 65.41 Zn.upf
Si 28.09 Si.upf
CELL_PARAMETERS angstrom
7.9359 0.0000 0.0000
0.0000 3.8551 0.0000
-2.0442 0.0000 5.7760
ATOMIC_POSITIONS crystal
Sr 0.0000 0.0000 0.0000
Sr 0.5000 0.5000 0.0000
Zn 0.2190 0.0000 0.6463
Zn 0.7190 0.5000 0.6463
Si 0.2788 0.5000 0.3592
Si 0.4867 0.0000 0.4986
Si 0.7788 0.0000 0.3592
Si 0.9867 0.5000 0.4986
```

As for the magnetization: 0.0 Bohr magnetons per cell. The value obtained for the formation energy (no corrections) is -91 meV per atom.

---

No. 2
Here is a relaxed SmCuRh crystal from Alexandria. Energies are from GGA-PBE. Values from VASP.

Geometry as Quantum ESPRESSO input:
```
&SYSTEM
  ibrav = 0, nat = 12, ntyp = 3
/
ATOMIC_SPECIES
Sm 150.36 Sm.upf
Cu 63.55 Cu.upf
Rh 102.91 Rh.upf
CELL_PARAMETERS angstrom
5.3293 0.0000 0.0000
0.0000 4.5193 0.0000
0.0000 0.0000 9.7967
ATOMIC_POSITIONS crystal
Sm 0.1326 0.2500 0.1304
Sm 0.3674 0.7500 0.6304
Sm 0.6326 0.2500 0.3696
Sm 0.8674 0.7500 0.8696
Cu 0.1827 0.7500 0.3330
Cu 0.3173 0.2500 0.8330
Cu 0.6827 0.7500 0.1670
Cu 0.8173 0.2500 0.6670
Rh 0.1323 0.2500 0.4551
Rh 0.3677 0.7500 0.9551
Rh 0.6323 0.2500 0.0449
Rh 0.8677 0.7500 0.5449
```

The energy relative to the elements is -0.3877 eV/atom. As for the magnetization: 0.0 Bohr magnetons per cell.

---

No. 3
Here is a relaxed Er2HfH8 crystal from Alexandria. Energies are from GGA-PBE. Values from VASP.

Geometry as Quantum ESPRESSO input:
```
&SYSTEM
  ibrav = 0, nat = 11, ntyp = 3
/
ATOMIC_SPECIES
Er 167.26 Er.upf
Hf 178.49 Hf.upf
H 1.01 H.upf
CELL_PARAMETERS angstrom
-1.8174 2.3545 5.3154
1.8174 -2.3545 5.3154
1.8174 2.3545 -5.3154
ATOMIC_POSITIONS crystal
Er 0.1669 0.1669 0.0000
Er 0.8331 0.8331 0.0000
Hf 0.5000 0.5000 0.0000
H 0.0954 0.3476 0.7478
H 0.2627 0.0000 0.2627
H 0.3264 0.8264 0.5000
H 0.4001 0.6524 0.7478
H 0.5999 0.3476 0.2522
H 0.6736 0.1736 0.5000
H 0.7373 0.0000 0.7373
H 0.9046 0.6524 0.2522
```

The total energy is -51.29 eV for the cell shown. As for the magnetization: 0.0 Bohr magnetons per cell.

---

No. 4
Here is a relaxed Ba4Y3F17 crystal from Alexandria. Energies are from GGA-PBE. Values from VASP.

Geometry as Quantum ESPRESSO input:
```
&SYSTEM
  ibrav = 0, nat = 48, ntyp = 3
/
ATOMIC_SPECIES
Ba 137.33 Ba.upf
Y 88.91 Y.upf
F 19.00 F.upf
CELL_PARAMETERS angstrom
9.3864 0.0000 0.0000
2.7435 9.0245 0.0000
2.7877 2.0838 8.8435
ATOMIC_POSITIONS crystal
Ba 0.0000 0.0000 0.0000
Ba 0.0447 0.6236 0.7870
Ba 0.1986 0.9455 0.3691
Ba 0.2570 0.5726 0.1697
Ba 0.3684 0.2040 0.9361
Ba 0.4234 0.8412 0.7402
Ba 0.5771 0.1552 0.3232
Ba 0.6224 0.7811 0.0999
Y 0.1250 0.2760 0.5886
Y 0.4736 0.4953 0.5222
Y 0.7060 0.4167 0.8887
Y 0.7917 0.0704 0.6595
Y 0.8442 0.7256 0.4457
Y 0.9237 0.3533 0.2197
F 0.0415 0.0492 0.6532
F 0.0485 0.5381 0.5097
F 0.0494 0.8035 0.2722
F 0.0973 0.1518 0.1357
F 0.1161 0.2902 0.3472
F 0.1281 0.4360 0.0406
F 0.1755 0.7473 0.9192
F 0.2252 0.1112 0.7876
F 0.2693 0.4014 0.6915
F 0.3024 0.7043 0.6012
F 0.3202 0.8877 0.0470
F 0.3263 0.0743 0.5067
F 0.3494 0.3788 0.4178
F 0.3993 0.6703 0.3183
F 0.4495 0.0286 0.1904
F 0.4958 0.3428 0.0682
F 0.5263 0.4633 0.7517
F 0.5324 0.6226 0.9626
F 0.5773 0.2385 0.5958
F 0.5823 0.9819 0.8255
F 0.6195 0.6691 0.4703
F 0.6644 0.4289 0.3206
F 0.6732 0.9277 0.5399
F 0.7265 0.1779 0.8668
F 0.7643 0.8973 0.2377
F 0.7704 0.6199 0.7041
F 0.8017 0.2502 0.0992
F 0.8210 0.5277 0.0167
F 0.8584 0.8741 0.8717
F 0.8664 0.1394 0.3959
F 0.8656 0.3079 0.5866
F 0.9073 0.5787 0.2694
F 0.9488 0.8458 0.5640
F 0.9682 0.3402 0.8088
```

As for the magnetization: 0.2 Bohr magnetons per cell. The value obtained for the formation energy (no corrections) is -4025 meV per atom.

---

No. 5
Here is a relaxed NdEr6Sc crystal from Alexandria. Energies are from GGA-PBE. Values from VASP.

Geometry as Quantum ESPRESSO input:
```
&SYSTEM
  ibrav = 0, nat = 8, ntyp = 3
/
ATOMIC_SPECIES
Nd 144.24 Nd.upf
Er 167.26 Er.upf
Sc 44.96 Sc.upf
CELL_PARAMETERS angstrom
7.0004 0.0000 0.0000
0.0000 7.0004 0.0000
0.0000 0.0000 4.9299
ATOMIC_POSITIONS crystal
Nd 0.0000 0.0000 0.0000
Er 0.0000 0.5000 0.0000
Er 0.2547 0.2547 0.5000
Er 0.2547 0.7453 0.5000
Er 0.5000 0.0000 0.0000
Er 0.7453 0.2547 0.5000
Er 0.7453 0.7453 0.5000
Sc 0.5000 0.5000 0.0000
```

The energy relative to the elements is 0.0336 eV/atom. As for the magnetization: 0.0 Bohr magnetons per cell.

---

No. 6
Here is a relaxed BaSr4Li crystal from Alexandria. Energies are from GGA-PBE. Values from VASP.

Geometry as Quantum ESPRESSO input:
```
&SYSTEM
  ibrav = 0, nat = 12, ntyp = 3
/
ATOMIC_SPECIES
Ba 137.33 Ba.upf
Sr 87.62 Sr.upf
Li 6.94 Li.upf
CELL_PARAMETERS angstrom
5.5041 -8.0629 0.0000
5.5041 8.0629 0.0000
-2.2716 0.0000 6.9755
ATOMIC_POSITIONS crystal
Ba 0.1030 0.8970 0.7500
Ba 0.8970 0.1030 0.2500
Sr 0.1197 0.3321 0.8716
Sr 0.2185 0.5705 0.4472
Sr 0.3321 0.1197 0.3716
Sr 0.4295 0.7815 0.0528
Sr 0.5705 0.2185 0.9472
Sr 0.6679 0.8803 0.6284
Sr 0.7815 0.4295 0.5528
Sr 0.8803 0.6679 0.1284
Li 0.4994 0.5006 0.7500
Li 0.5006 0.4994 0.2500
```

The energy relative to the elements is 0.0561 eV/atom. As for the magnetization: 0.0 Bohr magnetons per cell.

---

No. 7
Here is a relaxed PuCdSnSb crystal from Alexandria. Energies are from GGA-PBE. Values from VASP.

Geometry as Quantum ESPRESSO input:
```
&SYSTEM
  ibrav = 0, nat = 4, ntyp = 4
/
ATOMIC_SPECIES
Pu 244.00 Pu.upf
Cd 112.41 Cd.upf
Sn 118.71 Sn.upf
Sb 121.76 Sb.upf
CELL_PARAMETERS angstrom
4.3667 0.0000 0.0000
0.0000 4.6686 0.0000
0.0000 0.0000 4.9261
ATOMIC_POSITIONS crystal
Pu 0.0000 0.0000 0.0000
Cd 0.0000 0.5000 0.5000
Sn 0.5000 0.0000 0.5000
Sb 0.5000 0.5000 0.0000
```

As for the magnetization: 5.4 Bohr magnetons per cell. The value obtained for the formation energy (no corrections) is -355 meV per atom.

---

No. 8
Here is a relaxed YTc2Br crystal from Alexandria. Energies are from GGA-PBE. Values from VASP.

Geometry as Quantum ESPRESSO input:
```
&SYSTEM
  ibrav = 0, nat = 16, ntyp = 3
/
ATOMIC_SPECIES
Y 88.91 Y.upf
Tc 98.00 Tc.upf
Br 79.90 Br.upf
CELL_PARAMETERS angstrom
6.6074 0.0000 0.0000
0.0000 6.6074 0.0000
0.0000 0.0000 6.6074
ATOMIC_POSITIONS crystal
Y 0.0000 0.0000 0.0000
Y 0.0000 0.5000 0.5000
Y 0.5000 0.0000 0.5000
Y 0.5000 0.5000 0.0000
Tc 0.2500 0.2500 0.2500
Tc 0.2500 0.2500 0.7500
Tc 0.2500 0.7500 0.2500
Tc 0.2500 0.7500 0.7500
Tc 0.7500 0.2500 0.2500
Tc 0.7500 0.2500 0.7500
Tc 0.7500 0.7500 0.2500
Tc 0.7500 0.7500 0.7500
Br 0.0000 0.0000 0.5000
Br 0.0000 0.5000 0.0000
Br 0.5000 0.0000 0.0000
Br 0.5000 0.5000 0.5000
```

As for the magnetization: 0.0 Bohr magnetons per cell. The value obtained for the formation energy (no corrections) is 864 meV per atom.

---

No. 9
Here is a relaxed TbHoIn6 crystal from Alexandria. Energies are from GGA-PBE. Values from VASP.

Geometry as Quantum ESPRESSO input:
```
&SYSTEM
  ibrav = 0, nat = 8, ntyp = 3
/
ATOMIC_SPECIES
Tb 158.93 Tb.upf
Ho 164.93 Ho.upf
In 114.82 In.upf
CELL_PARAMETERS angstrom
4.6373 0.0000 0.0000
0.0000 4.6373 0.0000
0.0000 0.0000 9.2713
ATOMIC_POSITIONS crystal
Tb 0.0000 0.0000 0.0000
Ho 0.0000 0.0000 0.5000
In 0.0000 0.5000 0.2512
In 0.0000 0.5000 0.7488
In 0.5000 0.0000 0.2512
In 0.5000 0.0000 0.7488
In 0.5000 0.5000 0.0000
In 0.5000 0.5000 0.5000
```

The energy relative to the elements is -0.4142 eV/atom. As for the magnetization: 0.0 Bohr magnetons per cell.

---

No. 10
Here is a relaxed LiCdNi2Ir crystal from Alexandria. Energies are from GGA-PBE. Values from VASP.

Geometry as Quantum ESPRESSO input:
```
&SYSTEM
  ibrav = 0, nat = 5, ntyp = 4
/
ATOMIC_SPECIES
Li 6.94 Li.upf
Cd 112.41 Cd.upf
Ni 58.69 Ni.upf
Ir 192.22 Ir.upf
CELL_PARAMETERS angstrom
4.0534 0.0000 0.0000
0.0000 4.0534 0.0000
0.0000 0.0000 4.2570
ATOMIC_POSITIONS crystal
Li 0.0000 0.0000 0.0000
Cd 0.5000 0.5000 0.5000
Ni 0.0000 0.5000 0.0000
Ni 0.5000 0.0000 0.0000
Ir 0.0000 0.0000 0.5000
```

The energy relative to the elements is 0.6651 eV/atom. As for the magnetization: 1.2 Bohr magnetons per cell.